[1]
Compound: ScZn3N
Source: the Alexandria database
Functional: PBE
Structure: optimized geometry

Summary:
ΔE to the lowest computed polymorph: 0.000 eV per atom

Cell and atoms, written as CIF:
```
data_ScZn3N
_cell_length_a 4.276
_cell_length_b 4.276
_cell_length_c 4.276
_cell_angle_alpha 90.00
_cell_angle_beta 90.00
_cell_angle_gamma 90.00
_space_group_name_H-M_alt 'P m -3 m'
_space_group_IT_number 221
_space_group_name_Hall '-P 4 2 3'
loop_
_atom_site_label
_atom_site_type_symbol
_atom_site_fract_x
_atom_site_fract_y
_atom_site_fract_z
Sc1 Sc 0.000 0.000 0.000
Zn1 Zn 0.000 0.500 0.500
N1 N 0.500 0.500 0.500
```


[2]
Compound: Sc2ZnN
Source: the Alexandria database
Functional: PBE
Structure: optimized geometry

Cell and atoms, written as CIF:
```
data_Sc2ZnN
_cell_length_a 6.276
_cell_length_b 6.276
_cell_length_c 6.276
_cell_angle_alpha 90.00
_cell_angle_beta 90.00
_cell_angle_gamma 90.00
_space_group_name_H-M_alt 'F m -3 m'
_space_group_IT_number 225
_space_group_name_Hall '-F 4 2 3'
loop_
_atom_site_label
_atom_site_type_symbol
_atom_site_fract_x
_atom_site_fract_y
_atom_site_fract_z
Sc1 Sc 0.250 0.250 0.250
Zn1 Zn 0.000 0.000 0.000
N1 N 0.000 0.000 0.500
```


[3]
Compound: Sc2ZnN
Source: the Alexandria database
Functional: PBE
Structure: optimized geometry

Cell and atoms, written as CIF:
```
data_Sc2ZnN
_cell_length_a 6.266
_cell_length_b 6.266
_cell_length_c 7.411
_cell_angle_alpha 90.00
_cell_angle_beta 90.00
_cell_angle_gamma 90.00
_space_group_name_H-M_alt 'I -4 2 d'
_space_group_IT_number 122
_space_group_name_Hall 'I -4 2bw'
loop_
_atom_site_label
_atom_site_type_symbol
_atom_site_fract_x
_atom_site_fract_y
_atom_site_fract_z
Sc1 Sc 0.160 0.250 0.125
Zn1 Zn 0.000 0.000 0.500
N1 N 0.000 0.000 0.000
```


[4]
Compound: ScZnN2
Source: the Alexandria database
Functional: PBE
Structure: optimized geometry

Cell and atoms, written as CIF:
```
data_ScZnN2
_cell_length_a 4.603
_cell_length_b 4.603
_cell_length_c 10.191
_cell_angle_alpha 90.00
_cell_angle_beta 90.00
_cell_angle_gamma 90.00
_space_group_name_H-M_alt 'I -4 2 d'
_space_group_IT_number 122
_space_group_name_Hall 'I -4 2bw'
loop_
_atom_site_label
_atom_site_type_symbol
_atom_site_fract_x
_atom_site_fract_y
_atom_site_fract_z
Sc1 Sc 0.000 0.000 0.000
Zn1 Zn 0.000 0.000 0.500
N1 N 0.238 0.250 0.625
```


[5]
Compound: ScZnN2
Source: the Alexandria database
Functional: PBE
Structure: optimized geometry

Cell and atoms, written as CIF:
```
data_ScZnN2
_cell_length_a 3.3230
_cell_length_b 3.3230
_cell_length_c 17.7007
_cell_angle_alpha 90.00
_cell_angle_beta 90.00
_cell_angle_gamma 120.00
_space_group_name_H-M_alt 'R -3 m'
_space_group_IT_number 166
_space_group_name_Hall '-R 3 2"'
loop_
_atom_site_label
_atom_site_type_symbol
_atom_site_fract_x
_atom_site_fract_y
_atom_site_fract_z
Sc1 Sc 0.0000 0.0000 0.0000
Zn1 Zn 0.0000 0.0000 0.5000
N1 N 0.0000 0.0000 0.1114
```


[6]
Compound: ScZn3N
Source: the Alexandria database
Functional: PBE
Structure: optimized geometry

Summary:
ΔE to the lowest computed polymorph: 1.561 eV per atom

Cell and atoms, written as CIF:
```
data_ScZn3N
_cell_length_a 5.242
_cell_length_b 5.242
_cell_length_c 5.242
_cell_angle_alpha 90.00
_cell_angle_beta 90.00
_cell_angle_gamma 90.00
_space_group_name_H-M_alt 'P m -3 m'
_space_group_IT_number 221
_space_group_name_Hall '-P 4 2 3'
loop_
_atom_site_label
_atom_site_type_symbol
_atom_site_fract_x
_atom_site_fract_y
_atom_site_fract_z
Sc1 Sc 0.000 0.000 0.000
Zn1 Zn 0.000 0.000 0.500
N1 N 0.500 0.500 0.500
```


Calculated uncorrected formation energy, 0.36, 0.12, -0.75, -0.40, 0.66, 1.92 eV/atom (same order as the records).
Calculated ρ, 5.4, 4.6, 3.9, 4.3, 4.1, 2.9 Mg/m³ (same order as the records).